This record from Alexandria describes an optimized crystal structure of CaCdNi2. The functional is PBE.

```
CaCdNi2
1.0
4.6298 0.0000 0.0000
2.3149 4.0095 0.0000
2.3149 1.3365 3.7802
Ca Cd Ni
1 1 2
Direct
0.5000 0.5000 0.5000
0.7500 0.7500 0.7500
0.0000 0.0000 0.0000
0.2500 0.2500 0.2500
```

## Properties
ΔE_f   172 meV per atom
Space-group type   F-43m (216)

---

This record from Alexandria describes an optimized crystal structure of Ca2CdNi2. The functional is PBE.

```
Ca2CdNi2
1.0
-3.0873 -0.5592 4.6427
-1.9551 -1.9835 -4.9206
4.7197 -5.8965 2.4283
Ca Ni Cd
4 4 2
Direct
0.5022 0.2954 0.1469
0.4978 0.7046 0.8531
0.7932 0.2954 0.6469
0.2068 0.7046 0.3531
0.2973 0.2927 0.5054
0.9954 0.2927 0.0054
0.0046 0.7073 0.9946
0.7027 0.7073 0.4946
0.8658 0.0000 0.2500
0.1342 0.0000 0.7500
```

## Properties
ΔE_f   -212 meV per atom
Space-group type   C2/c (15)

---

This record from Alexandria describes an optimized crystal structure of CaCdNi3. The functional is PBE.

```
CaCdNi3
1.0
-1.8020 -4.0988 0.9530
2.2187 -0.0445 4.0038
-3.5757 2.0380 2.0041
Ni Cd Ca
3 1 1
Direct
0.0000 0.0000 0.5000
0.0000 0.5000 0.0000
0.5000 0.0000 0.0000
0.5000 0.5000 0.5000
0.0000 0.0000 0.0000
```

## Properties
Energy above the lowest structure with this stoichiometry   522 meV/atom
ΔE_f   1239 meV per atom
Space-group type   Pm-3m (221)

---

This record from Alexandria describes an optimized crystal structure of Ca12CdNi6. The functional is PBE.

```
Ca12CdNi6
1.0
8.2929 0.0000 -2.9320
-4.1465 7.1819 -2.9320
0.0000 0.0000 8.7960
Ca Ni Cd
12 6 1
Direct
0.1852 0.3091 0.4943
0.8148 0.3091 0.1240
0.3091 0.1240 0.8148
0.8148 0.6909 0.5057
0.3091 0.4943 0.1852
0.4943 0.1852 0.3091
0.1852 0.6909 0.8760
0.1240 0.8148 0.3091
0.8760 0.1852 0.6909
0.6909 0.8760 0.1852
0.5057 0.8148 0.6909
0.6909 0.5057 0.8148
0.6130 0.5000 0.1130
0.5000 0.1130 0.6130
0.8870 0.3870 0.5000
0.5000 0.8870 0.3870
0.3870 0.5000 0.8870
0.1130 0.6130 0.5000
0.0000 0.0000 0.0000
```

## Properties
ΔE_f   -111 meV per atom
Space-group type   Im-3 (204)

---

This record from Alexandria describes an optimized crystal structure of Ca2CdNi2. The functional is PBE.

```
Ca2CdNi2
1.0
-3.2927 1.2412 2.1014
-2.0102 0.3759 -3.3717
-1.0798 -6.6106 2.2127
Cd Ca Ni
1 2 2
Direct
0.0000 0.0000 0.0000
0.5000 0.3610 0.7221
0.5000 0.6390 0.2779
0.0000 0.2030 0.4060
0.0000 0.7970 0.5940
```

## Properties
ΔE_f   -210 meV per atom
Space-group type   Cmmm (65)

---

This record from Alexandria describes an optimized crystal structure of CaCdNi2. The functional is PBE.

```
CaCdNi2
1.0
-1.6499 3.1662 -0.2872
-0.9900 -0.2448 2.9885
4.2179 2.6465 4.9457
Ni Ca Cd
2 1 1
Direct
0.0000 0.0436 0.9561
0.0000 0.4564 0.5439
0.5000 0.2500 0.2500
0.5000 0.7500 0.7500
```

## Properties
ΔE_f   55 meV per atom
Space-group type   Pmmm (47)

---

This record from Alexandria describes an optimized crystal structure of CaCd2Ni2. The functional is PBE.

```
CaCd2Ni2
1.0
4.2408 0.0000 0.0000
0.0000 4.2408 0.0000
2.1204 2.1204 5.5292
Cd Ni Ca
2 2 1
Direct
0.2500 0.7500 0.5000
0.7500 0.2500 0.5000
0.6019 0.6019 0.7963
0.3981 0.3981 0.2037
0.0000 0.0000 0.0000
```

## Properties
Energy above the lowest structure with this stoichiometry   0 meV/atom
ΔE_f   -82 meV per atom
Space-group type   I4/mmm (139)

---

This record from Alexandria describes an optimized crystal structure of Ca4CdNi. The functional is PBE.

```
Ca4CdNi
1.0
5.9467 0.0255 -1.3050
-2.3429 7.4079 -2.8208
0.1218 -0.2689 8.2605
Cd Ca Ni
2 8 2
Direct
0.7500 0.6269 0.3731
0.2500 0.3731 0.6269
0.0611 0.9408 0.2802
0.3529 0.7883 0.6380
0.5611 0.2802 0.9408
0.8529 0.6380 0.7883
0.6471 0.2117 0.3620
0.4389 0.7198 0.0592
0.1471 0.3620 0.2117
0.9389 0.0592 0.7198
0.7500 0.0007 0.9993
0.2500 0.9993 0.0007
```

## Properties
Energy above the lowest structure with this stoichiometry   0 meV/atom
ΔE_f   -156 meV per atom
Space-group type   C2/c (15)